a | PaPbN: relaxed, PBE-GGA.

- size of the total moment (μB/atom) = 0.24

```
data_PaPbN
_chemical_formula_sum 'Pa2 Pb2 N2'
_space_group_name_H-M_alt 'P 1'
_space_group_IT_number 1
_space_group_name_Hall 'P 1'
_cell_length_a 4.045
_cell_length_b 4.045
_cell_length_c 7.901
_cell_angle_alpha 90.00
_cell_angle_beta 90.00
_cell_angle_gamma 90.00
loop_
_atom_site_label
_atom_site_fract_x
_atom_site_fract_y
_atom_site_fract_z
_atom_site_occupancy
Pb1 0.314 0.367 0.325 1
Pb2 0.814 0.867 0.514 1
Pa1 0.314 0.366 0.780 1
Pa2 0.814 0.866 0.059 1
N1 0.314 0.866 0.920 1
N2 0.814 0.366 0.920 1
```

***

b | PaPbN: relaxed, PBE-GGA.

- size of the total moment (μB/atom) = 0.09

```
data_PaPbN
_chemical_formula_sum 'Pa1 Pb1 N1'
_space_group_name_H-M_alt 'P 1'
_space_group_IT_number 1
_space_group_name_Hall 'P 1'
_cell_length_a 3.229
_cell_length_b 3.229
_cell_length_c 6.866
_cell_angle_alpha 103.60
_cell_angle_beta 103.60
_cell_angle_gamma 90.00
loop_
_atom_site_label
_atom_site_fract_x
_atom_site_fract_y
_atom_site_fract_z
_atom_site_occupancy
N1 0.268 0.268 0.536 1
Pa1 0.731 0.731 0.461 1
Pb1 0.001 0.001 0.002 1
```

***

Decreasing stability: a, b

***

a | PaPbN2: relaxed, PBE-GGA.

- size of the total moment (μB/atom) = 0.00

```
data_PaPbN2
_chemical_formula_sum 'Pa1 Pb1 N2'
_space_group_name_H-M_alt 'P 1'
_space_group_IT_number 1
_space_group_name_Hall 'P 1'
_cell_length_a 3.612
_cell_length_b 3.612
_cell_length_c 7.359
_cell_angle_alpha 75.80
_cell_angle_beta 75.80
_cell_angle_gamma 60.00
loop_
_atom_site_label
_atom_site_fract_x
_atom_site_fract_y
_atom_site_fract_z
_atom_site_occupancy
N1 0.879 0.879 0.362 1
N2 0.121 0.121 0.638 1
Pb1 0.000 0.000 0.000 1
Pa1 0.500 0.500 0.500 1
```

***

b | PaPbN2: relaxed, PBE-GGA.

- size of the total moment (μB/atom) = 0.00

```
data_PaPbN2
_chemical_formula_sum 'Pa1 Pb1 N2'
_space_group_name_H-M_alt 'P 1'
_space_group_IT_number 1
_space_group_name_Hall 'P 1'
_cell_length_a 3.594
_cell_length_b 3.594
_cell_length_c 7.196
_cell_angle_alpha 75.54
_cell_angle_beta 75.54
_cell_angle_gamma 60.00
loop_
_atom_site_label
_atom_site_fract_x
_atom_site_fract_y
_atom_site_fract_z
_atom_site_occupancy
Pa1 0.668 0.668 0.995 1
N1 0.055 0.055 0.836 1
N2 0.292 0.292 0.124 1
Pb1 0.485 0.485 0.545 1
```

***

Decreasing stability: a, b

***

a | Pm3PaN4: relaxed, PBE-GGA.

- size of the total moment (μB/atom) = 0.00

```
data_Pm3PaN4
_chemical_formula_sum 'Pm3 Pa1 N4'
_space_group_name_H-M_alt 'P 1'
_space_group_IT_number 1
_space_group_name_Hall 'P 1'
_cell_length_a 3.589
_cell_length_b 6.189
_cell_length_c 6.189
_cell_angle_alpha 109.20
_cell_angle_beta 90.00
_cell_angle_gamma 90.00
loop_
_atom_site_label
_atom_site_fract_x
_atom_site_fract_y
_atom_site_fract_z
_atom_site_occupancy
N1 0.000 0.773 0.773 1
N2 0.500 0.233 0.767 1
N3 0.000 0.227 0.227 1
N4 0.500 0.767 0.233 1
Pm1 0.500 0.500 0.500 1
Pm2 0.000 0.000 0.500 1
Pm3 0.000 0.500 0.000 1
Pa1 0.500 0.000 0.000 1
```

***

b | Pm3PaN4: relaxed, PBE-GGA.

- size of the total moment (μB/atom) = 0.00

```
data_Pm3PaN4
_chemical_formula_sum 'Pm6 Pa2 N8'
_space_group_name_H-M_alt 'P 1'
_space_group_IT_number 1
_space_group_name_Hall 'P 1'
_cell_length_a 5.125
_cell_length_b 7.037
_cell_length_c 8.390
_cell_angle_alpha 90.00
_cell_angle_beta 90.00
_cell_angle_gamma 90.00
loop_
_atom_site_label
_atom_site_fract_x
_atom_site_fract_y
_atom_site_fract_z
_atom_site_occupancy
N1 0.064 0.316 0.234 1
N2 0.065 0.832 0.500 1
N3 0.564 0.684 0.734 1
N4 0.564 0.143 0.500 1
N5 0.565 0.168 0.000 1
N6 0.064 0.857 0.000 1
N7 0.564 0.684 0.266 1
N8 0.064 0.316 0.766 1
Pa1 0.564 0.823 0.500 1
Pa2 0.064 0.177 0.000 1
Pm1 0.564 0.829 0.000 1
Pm2 0.064 0.171 0.500 1
Pm3 0.064 0.667 0.755 1
Pm4 0.564 0.333 0.255 1
Pm5 0.064 0.667 0.245 1
Pm6 0.564 0.333 0.745 1
```

***

Decreasing stability: a, b

***

a | PmPa2N3: relaxed, PBE-GGA.

- size of the total moment (μB/atom) = 0.00

```
data_PmPa2N3
_chemical_formula_sum 'Pm2 Pa4 N6'
_space_group_name_H-M_alt 'P 1'
_space_group_IT_number 1
_space_group_name_Hall 'P 1'
_cell_length_a 6.707
_cell_length_b 5.892
_cell_length_c 5.892
_cell_angle_alpha 60.00
_cell_angle_beta 90.00
_cell_angle_gamma 90.00
loop_
_atom_site_label
_atom_site_fract_x
_atom_site_fract_y
_atom_site_fract_z
_atom_site_occupancy
N1 0.750 0.000 0.000 1
N2 0.250 0.000 0.000 1
N3 0.750 0.000 0.500 1
N4 0.750 0.500 0.000 1
N5 0.250 0.000 0.500 1
N6 0.250 0.500 0.000 1
Pm1 0.750 0.500 0.500 1
Pm2 0.250 0.500 0.500 1
Pa1 0.500 0.167 0.167 1
Pa2 0.000 0.167 0.167 1
Pa3 0.500 0.833 0.833 1
Pa4 0.000 0.833 0.833 1
```

***

b | PmPa2N3: relaxed, PBE-GGA.

- size of the total moment (μB/atom) = 0.00

```
data_PmPa2N3
_chemical_formula_sum 'Pm1 Pa2 N3'
_space_group_name_H-M_alt 'P 1'
_space_group_IT_number 1
_space_group_name_Hall 'P 1'
_cell_length_a 3.522
_cell_length_b 5.024
_cell_length_c 6.103
_cell_angle_alpha 114.30
_cell_angle_beta 106.77
_cell_angle_gamma 90.00
loop_
_atom_site_label
_atom_site_fract_x
_atom_site_fract_y
_atom_site_fract_z
_atom_site_occupancy
N1 0.820 0.320 0.139 1
N2 0.500 0.000 0.500 1
N3 0.180 0.680 0.861 1
Pm1 0.500 0.500 0.500 1
Pa1 0.836 0.836 0.171 1
Pa2 0.164 0.164 0.829 1
```

***

Decreasing stability: b, a

***

a | Pr4PaN4: relaxed, PBE-GGA.

- size of the total moment (μB/atom) = 0.31

```
data_Pr4PaN4
_chemical_formula_sum 'Pr4 Pa1 N4'
_space_group_name_H-M_alt 'P 1'
_space_group_IT_number 1
_space_group_name_Hall 'P 1'
_cell_length_a 5.911
_cell_length_b 5.911
_cell_length_c 7.141
_cell_angle_alpha 114.45
_cell_angle_beta 114.45
_cell_angle_gamma 90.00
loop_
_atom_site_label
_atom_site_fract_x
_atom_site_fract_y
_atom_site_fract_z
_atom_site_occupancy
Pr1 0.000 0.500 0.000 1
Pr2 0.500 0.000 0.000 1
Pr3 0.712 0.712 0.424 1
Pr4 0.288 0.288 0.576 1
Pa1 0.000 0.000 0.000 1
N1 0.921 0.335 0.256 1
N2 0.665 0.665 0.744 1
N3 0.335 0.921 0.256 1
N4 0.079 0.079 0.744 1
```

***

b | Pr4PaN4: relaxed, PBE-GGA.

- size of the total moment (μB/atom) = 0.04

```
data_Pr4PaN4
_chemical_formula_sum 'Pr4 Pa1 N4'
_space_group_name_H-M_alt 'P 1'
_space_group_IT_number 1
_space_group_name_Hall 'P 1'
_cell_length_a 3.633
_cell_length_b 6.379
_cell_length_c 8.171
_cell_angle_alpha 75.62
_cell_angle_beta 77.15
_cell_angle_gamma 73.46
loop_
_atom_site_label
_atom_site_fract_x
_atom_site_fract_y
_atom_site_fract_z
_atom_site_occupancy
Pa1 0.500 0.000 0.000 1
N1 0.687 0.904 0.723 1
N2 0.085 0.745 0.085 1
N3 0.313 0.096 0.277 1
N4 0.915 0.255 0.915 1
Pr1 0.890 0.826 0.393 1
Pr2 0.110 0.174 0.607 1
Pr3 0.704 0.401 0.191 1
Pr4 0.296 0.599 0.809 1
```

***

Decreasing stability: b, a

***

a | Pr3PaN4: relaxed, PBE-GGA.

- size of the total moment (μB/atom) = 0.00

```
data_Pr3PaN4
_chemical_formula_sum 'Pr3 Pa1 N4'
_space_group_name_H-M_alt 'P 1'
_space_group_IT_number 1
_space_group_name_Hall 'P 1'
_cell_length_a 5.137
_cell_length_b 5.137
_cell_length_c 6.301
_cell_angle_alpha 114.06
_cell_angle_beta 114.06
_cell_angle_gamma 90.00
loop_
_atom_site_label
_atom_site_fract_x
_atom_site_fract_y
_atom_site_fract_z
_atom_site_occupancy
N1 0.500 0.000 0.000 1
N2 0.781 0.781 0.562 1
N3 0.000 0.500 0.000 1
N4 0.219 0.219 0.438 1
Pr1 0.250 0.750 0.500 1
Pr2 0.750 0.250 0.500 1
Pr3 0.500 0.500 0.000 1
Pa1 0.000 0.000 0.000 1
```

***

b | Pr3PaN4: relaxed, PBE-GGA.

- size of the total moment (μB/atom) = 0.00

```
data_Pr3PaN4
_chemical_formula_sum 'Pr6 Pa2 N8'
_space_group_name_H-M_alt 'P 1'
_space_group_IT_number 1
_space_group_name_Hall 'P 1'
_cell_length_a 5.230
_cell_length_b 7.109
_cell_length_c 8.522
_cell_angle_alpha 90.00
_cell_angle_beta 90.00
_cell_angle_gamma 90.00
loop_
_atom_site_label
_atom_site_fract_x
_atom_site_fract_y
_atom_site_fract_z
_atom_site_occupancy
N1 0.060 0.313 0.768 1
N2 0.560 0.687 0.732 1
N3 0.562 0.137 0.500 1
N4 0.060 0.313 0.232 1
N5 0.062 0.863 0.000 1
N6 0.591 0.169 0.000 1
N7 0.091 0.831 0.500 1
N8 0.560 0.687 0.268 1
Pr1 0.562 0.332 0.255 1
Pr2 0.562 0.830 0.000 1
Pr3 0.062 0.668 0.755 1
Pr4 0.062 0.668 0.245 1
Pr5 0.562 0.332 0.745 1
Pr6 0.062 0.170 0.500 1
Pa1 0.055 0.179 0.000 1
Pa2 0.555 0.821 0.500 1
```

***

Decreasing stability: a, b

***

a | Pa2PtN: relaxed, PBE-GGA.

- size of the total moment (μB/atom) = 0.00

```
data_Pa2PtN
_chemical_formula_sum 'Pa2 Pt1 N1'
_space_group_name_H-M_alt 'P 1'
_space_group_IT_number 1
_space_group_name_Hall 'P 1'
_cell_length_a 3.491
_cell_length_b 3.491
_cell_length_c 7.406
_cell_angle_alpha 76.37
_cell_angle_beta 76.37
_cell_angle_gamma 60.00
loop_
_atom_site_label
_atom_site_fract_x
_atom_site_fract_y
_atom_site_fract_z
_atom_site_occupancy
Pt1 0.500 0.500 0.500 1
N1 0.000 0.000 0.000 1
Pa1 0.267 0.267 0.200 1
Pa2 0.733 0.733 0.800 1
```

***

b | Pa2PtN: relaxed, PBE-GGA.

- size of the total moment (μB/atom) = 0.00

```
data_Pa2PtN
_chemical_formula_sum 'Pa2 Pt1 N1'
_space_group_name_H-M_alt 'P 1'
_space_group_IT_number 1
_space_group_name_Hall 'P 1'
_cell_length_a 3.064
_cell_length_b 3.064
_cell_length_c 7.303
_cell_angle_alpha 90.00
_cell_angle_beta 90.00
_cell_angle_gamma 90.00
loop_
_atom_site_label
_atom_site_fract_x
_atom_site_fract_y
_atom_site_fract_z
_atom_site_occupancy
Pa1 0.000 0.000 0.209 1
Pa2 0.000 0.000 0.791 1
Pt1 0.500 0.500 0.500 1
N1 0.500 0.500 0.000 1
```

***

Decreasing stability: a, b

***

a | Pu2PaN3: relaxed, PBE-GGA.

- size of the total moment (μB/atom) = 1.92

```
data_Pu2PaN3
_chemical_formula_sum 'Pu4 Pa2 N6'
_space_group_name_H-M_alt 'P 1'
_space_group_IT_number 1
_space_group_name_Hall 'P 1'
_cell_length_a 3.491
_cell_length_b 6.958
_cell_length_c 8.332
_cell_angle_alpha 106.37
_cell_angle_beta 90.02
_cell_angle_gamma 104.52
loop_
_atom_site_label
_atom_site_fract_x
_atom_site_fract_y
_atom_site_fract_z
_atom_site_occupancy
N1 0.688 0.376 0.139 1
N2 0.312 0.624 0.861 1
N3 0.628 0.255 0.527 1
N4 0.976 0.952 0.191 1
N5 0.024 0.048 0.809 1
N6 0.372 0.745 0.473 1
Pa1 0.000 0.000 0.500 1
Pa2 0.500 0.000 0.000 1
Pu1 0.173 0.346 0.338 1
Pu2 0.330 0.659 0.160 1
Pu3 0.827 0.654 0.662 1
Pu4 0.670 0.341 0.840 1
```

***

b | Pu2PaN3: relaxed, PBE-GGA.

- size of the total moment (μB/atom) = 1.68

```
data_Pu2PaN3
_chemical_formula_sum 'Pu4 Pa2 N6'
_space_group_name_H-M_alt 'P 1'
_space_group_IT_number 1
_space_group_name_Hall 'P 1'
_cell_length_a 4.940
_cell_length_b 7.046
_cell_length_c 6.034
_cell_angle_alpha 106.96
_cell_angle_beta 114.16
_cell_angle_gamma 90.00
loop_
_atom_site_label
_atom_site_fract_x
_atom_site_fract_y
_atom_site_fract_z
_atom_site_occupancy
N1 0.500 0.250 0.000 1
N2 0.500 0.750 0.000 1
N3 0.840 0.420 0.679 1
N4 0.840 0.920 0.679 1
N5 0.160 0.580 0.321 1
N6 0.160 0.080 0.321 1
Pu1 0.331 0.416 0.662 1
Pu2 0.331 0.916 0.662 1
Pu3 0.669 0.084 0.338 1
Pu4 0.669 0.584 0.338 1
Pa1 0.000 0.250 0.000 1
Pa2 0.000 0.750 0.000 1
```

***

Decreasing stability: b, a